Record 1
{"formula": "Nd2Ho4In", "functional": "PBE-GGA", "state": "relaxed", "e_above_lowest_polymorph_ev_per_atom": 0.0737, "spacegroup": "No. 14", "e_form_ev_per_atom": 0.007, "crystal_system": "monoclinic", "lattice": [[-10.267, 5.003, -3.195], [-3.159, -3.989, 3.904], [2.249, 6.031, 2.217]], "species": ["Ho", "Ho", "Ho", "Ho", "Ho", "Ho", "Ho", "Ho", "In", "In", "Nd", "Nd", "Nd", "Nd"], "frac_coords": [[0.274, 0.333, 0.150], [0.726, 0.667, 0.850], [0.302, 0.329, 0.658], [0.198, 0.829, 0.658], [0.698, 0.671, 0.342], [0.226, 0.833, 0.150], [0.774, 0.167, 0.850], [0.802, 0.171, 0.342], [0.500, 0.500, 0.000], [0.000, 0.000, 0.000], [0.520, 0.145, 0.315], [0.480, 0.855, 0.685], [0.980, 0.645, 0.315], [0.020, 0.355, 0.685]]}

---

Record 2
{"formula": "Pr2Nd3Hg4", "functional": "PBE-GGA", "state": "relaxed", "e_above_lowest_polymorph_ev_per_atom": 0.0000, "spacegroup": "No. 164", "e_form_ev_per_atom": -0.384, "crystal_system": "trigonal", "lattice": [[-4.025, -0.062, 3.596], [-0.217, -3.882, 3.740], [5.712, 5.947, 6.497]], "species": ["Nd", "Nd", "Nd", "Pr", "Pr", "Hg", "Hg", "Hg", "Hg"], "frac_coords": [[0.333, 0.333, 0.416], [0.667, 0.667, 0.584], [0.000, 0.000, 0.000], [0.333, 0.333, 0.789], [0.667, 0.667, 0.211], [0.333, 0.333, 0.103], [0.000, 0.000, 0.652], [0.667, 0.667, 0.897], [0.000, 0.000, 0.348]]}

---

Record 3
{"formula": "ReAgGeF2", "functional": "PBE-GGA", "state": "relaxed", "spacegroup": "No. 123", "raw_formation_energy_ev_per_atom": 0.301, "crystal_system": "tetragonal", "lattice": [[-1.945, 1.585, -3.117], [-1.251, -5.513, -2.023], [-3.396, -0.006, 2.116]], "species": ["Ag", "F", "F", "Ge", "Re"], "frac_coords": [[0.000, 0.000, 0.000], [0.000, 0.000, 0.500], [0.500, 0.000, 0.000], [0.000, 0.500, 0.000], [0.500, 0.500, 0.500]]}

---

Record 4
{"formula": "Tl2CoIr", "functional": "PBE-GGA", "state": "relaxed", "e_above_lowest_polymorph_ev_per_atom": 0.2951, "spacegroup": "No. 10", "e_form_ev_per_atom": 0.707, "crystal_system": "monoclinic", "lattice": [[4.356, 0.000, 0.000], [0.000, 3.104, 0.010], [0.000, 0.313, 5.543]], "species": ["Tl", "Tl", "Ir", "Co"], "frac_coords": [[0.000, 0.477, 0.495], [0.000, 0.023, 0.005], [0.500, 0.750, 0.750], [0.500, 0.250, 0.250]]}

---

Record 5
{"formula": "LaGa2Si", "functional": "PBE-GGA", "state": "relaxed", "spacegroup": "No. 122", "raw_formation_energy_ev_per_atom": -0.275, "crystal_system": "tetragonal", "lattice": [[-4.033, 0.709, 2.136], [0.630, -3.852, 2.469], [2.561, 3.257, 8.748]], "species": ["Si", "Si", "Ga", "Ga", "Ga", "Ga", "La", "La"], "frac_coords": [[0.500, 0.500, 0.000], [0.250, 0.750, 0.500], [0.375, 0.524, 0.750], [0.476, 0.125, 0.250], [0.875, 0.726, 0.750], [0.274, 0.625, 0.250], [0.750, 0.250, 0.500], [0.000, 0.000, 0.000]]}

---

Record 6
{"formula": "FeMo2Cl", "functional": "PBE-GGA", "state": "relaxed", "e_above_lowest_polymorph_ev_per_atom": 0.6973, "spacegroup": "No. 123", "raw_formation_energy_ev_per_atom": 0.982, "crystal_system": "tetragonal", "lattice": [[-2.549, 2.233, 2.994], [-2.077, -3.036, 0.496], [2.255, -1.096, 2.736]], "species": ["Mo", "Mo", "Cl", "Fe"], "frac_coords": [[0.000, 0.500, 0.500], [0.000, 0.000, 0.000], [0.500, 0.500, 0.000], [0.500, 0.000, 0.500]]}

---

Respective calculated total energy values: -4.3622; -3.1695; -4.4306; -4.4675; -4.3758; -7.0108 eV per atom.